No. 1
VASP calculation (PBE) on an optimized crystal structure of LiAcPtO6.

Calculated values
magnetic moment	1.7	μB/f.u.
VASP energy	-5.866	eV per atom
formation energy from raw total energies	-1.220	eV per atom

a = 5.2875 Å, b = 5.2875 Å, c = 5.3015 Å
α = 90.00°, β = 90.00°, γ = 120.00°
Closest atoms and distances in Å follow each position.
Space group P312 (No. 149)
One atom of each set of equivalent atoms:
Li 0.0000 0.0000 0.0000 (multiplicity 1)  6 O 2.09
Ac 0.6667 0.3333 0.5000 (multiplicity 1)  6 O 2.48
Pt 0.3333 0.6667 0.0000 (multiplicity 1)  6 O 1.93
O 0.0447 0.3570 0.2076 (multiplicity 6)  1 Pt 1.93, 1 Li 2.09


No. 2
VASP calculation (PBE) on an optimized crystal structure of Cs2MgScBe.

Calculated values
magnetic moment	1.0	μB/f.u.
VASP energy	-1.425	eV per atom
energy of formation	6.23	eV/f.u.

a = 7.2994 Å, b = 7.2994 Å, c = 5.8897 Å
α = 90.00°, β = 90.00°, γ = 90.00°
Closest atoms and distances in Å follow each position.
Space group P4/mmm (No. 123)
One atom of each set of equivalent atoms:
Cs 0.0000 0.5000 0.0000 (multiplicity 2)  2 Mg 3.65
Mg 0.0000 0.0000 0.0000 (multiplicity 1)  2 Sc 2.94
Sc 0.0000 0.0000 0.5000 (multiplicity 1)  2 Mg 2.94
Be 0.5000 0.5000 0.5000 (multiplicity 1)  8 Cs 4.69, 4 Sc 5.16


No. 3
VASP calculation (PBE) on an optimized crystal structure of ThPaHgPb.

Calculated values
magnetic moment	2.2	μB/f.u.
VASP energy	-5.178	eV per atom
energy of formation	0.21	eV/f.u.

a = 7.6753 Å, b = 7.6753 Å, c = 7.6753 Å
α = 90.00°, β = 90.00°, γ = 90.00°
Closest atoms and distances in Å follow each position.
Space group F-43m (No. 216)
One atom of each set of equivalent atoms:
Th 0.0000 0.0000 0.0000 (multiplicity 4)  4 Hg 3.32, 4 Pb 3.32
Pa 0.0000 0.0000 0.5000 (multiplicity 4)  4 Hg 3.32, 4 Pb 3.32
Hg 0.2500 0.2500 0.2500 (multiplicity 4)  4 Th 3.32, 4 Pa 3.32
Pb 0.2500 0.2500 0.7500 (multiplicity 4)  4 Th 3.32, 4 Pa 3.32


No. 4
VASP calculation (PBE) on an optimized crystal structure of PaFe2W.

Calculated values
magnetic moment	0.0	μB/f.u.
VASP energy	-9.743	eV per atom
energy of formation	0.40	eV/f.u.

a = 3.9960 Å, b = 3.9960 Å, c = 14.4521 Å
α = 90.00°, β = 90.00°, γ = 120.00°
Closest atoms and distances in Å follow each position.
Space group R-3m (No. 166, hexagonal axes)
One atom of each set of equivalent atoms:
Pa 0.0000 0.0000 0.0000 (multiplicity 3)  8 Fe 2.84-3.16
Fe 0.0000 0.0000 0.2188 (multiplicity 6)  3 W 2.43
W 0.0000 0.0000 0.5000 (multiplicity 3)  6 Fe 2.43


No. 5
VASP calculation (PBE) on an optimized crystal structure of HfTe2Os.

Calculated values
magnetic moment	0.0	μB/f.u.
VASP energy	-6.372	eV per atom
formation energy from raw total energies	0.494	eV per atom

a = 6.2325 Å, b = 6.2325 Å, c = 12.1451 Å
α = 90.00°, β = 90.00°, γ = 90.00°
Closest atoms and distances in Å follow each position.
Space group I-42d (No. 122)
One atom of each set of equivalent atoms:
Hf 0.0000 0.0000 0.0000 (multiplicity 4)  4 Te 2.80
Te 0.2180 0.2500 0.6250 (multiplicity 8)  2 Os 2.56, 2 Hf 2.80
Os 0.0000 0.0000 0.5000 (multiplicity 4)  4 Te 2.56


No. 6
VASP calculation (PBE) on an optimized crystal structure of Cs2Be3S4.

Calculated values
magnetic moment	0.0	μB/f.u.
VASP energy	-3.981	eV per atom
formation energy from raw total energies	-0.715	eV per atom

a = 5.7698 Å, b = 9.7037 Å, c = 16.3752 Å
α = 90.00°, β = 90.00°, γ = 90.00°
Closest atoms and distances in Å follow each position.
Space group Fmmm (No. 69)
One atom of each set of equivalent atoms:
Cs 0.0000 0.0000 0.1704 (multiplicity 8)  6 S 3.48-3.56, 2 Cs 3.89
Be 0.0000 0.0000 0.5000 (multiplicity 4)  4 S 2.21
Be 0.2500 0.2500 0.0000 (multiplicity 8)  4 S 2.22
S 0.0000 0.1681 0.4093 (multiplicity 16)  3 Be 2.21-2.22


No. 7
VASP calculation (PBE) on an optimized crystal structure of Sm6Te3As2Pd.

Calculated values
magnetic moment	0.0	μB/f.u.
VASP energy	-5.713	eV per atom
formation energy from raw total energies	-1.361	eV per atom

a = 19.0119 Å, b = 4.2677 Å, c = 8.7734 Å
α = 90.00°, β = 104.23°, γ = 90.00°
Closest atoms and distances in Å follow each position.
Space group C2/m (No. 12)
One atom of each set of equivalent atoms:
Sm 0.0063 0.0000 0.2320 (multiplicity 4)  2 Pd 2.93, 1 As 2.96, 3 Te 3.20-3.21
Sm 0.1631 0.5000 0.1011 (multiplicity 4)  2 As 2.95, 1 Pd 3.01, 3 Te 3.13-3.19
Sm 0.1730 0.5000 0.5679 (multiplicity 4)  3 As 2.94-2.95, 3 Te 3.17-3.19
Te 0.0000 0.5000 0.5000 (multiplicity 2)  6 Sm 3.19-3.20
Te 0.1672 0.0000 0.8325 (multiplicity 4)  6 Sm 3.13-3.21
As 0.1669 0.0000 0.3348 (multiplicity 4)  6 Sm 2.94-2.96
Pd 0.0000 0.5000 0.0000 (multiplicity 2)  6 Sm 2.93-3.01


No. 8
VASP calculation (PBE) on an optimized crystal structure of Y2Mo.

Calculated values
magnetic moment	0.0	μB/f.u.
VASP energy	-7.773	eV per atom
energy of formation	0.44	eV/f.u.

a = 11.6413 Å, b = 3.5067 Å, c = 8.1460 Å
α = 90.00°, β = 110.67°, γ = 90.00°
Closest atoms and distances in Å follow each position.
Space group C2/m (No. 12)
One atom of each set of equivalent atoms:
Y 0.0126 0.0000 0.2086 (multiplicity 4)  5 Mo 3.11-3.48, 4 Y 3.31-3.45
Y 0.1711 0.5000 0.6241 (multiplicity 4)  3 Mo 3.10-3.39, 3 Y 3.40-3.45
Mo 0.1927 0.5000 0.0507 (multiplicity 4)  2 Mo 2.51


No. 9
VASP calculation (PBE) on an optimized crystal structure of MgTeSe2.

Calculated values
magnetic moment	0.0	μB/f.u.
VASP energy	-3.311	eV per atom
formation energy from raw total energies	-0.385	eV per atom

a = 7.7875 Å, b = 3.7713 Å, c = 7.0385 Å
α = 90.00°, β = 99.42°, γ = 90.00°
Closest atoms and distances in Å follow each position.
Space group C2/m (No. 12)
One atom of each set of equivalent atoms:
Mg 0.0000 0.0000 0.0000 (multiplicity 2)  6 Se 2.70-3.02
Te 0.0000 0.5000 0.5000 (multiplicity 2)  2 Se 2.72
Se 0.1922 0.5000 0.2104 (multiplicity 4)  3 Mg 2.70-3.02, 1 Te 2.72


No. 10
VASP calculation (PBE) on an optimized crystal structure of HfCdPd.

Calculated values
magnetic moment	0.0	μB/f.u.
VASP energy	-5.805	eV per atom
energy of formation	-1.35	eV/f.u.

a = 3.3855 Å, b = 3.3855 Å, c = 10.0578 Å
α = 90.00°, β = 90.00°, γ = 90.00°
Closest atoms and distances in Å follow each position.
Space group P4/nmm (No. 129, origin choice 2)
One atom of each set of equivalent atoms:
Hf 0.2500 0.2500 0.0959 (multiplicity 2)  4 Pd 2.81, 4 Hf 3.07, 1 Cd 3.15
Cd 0.2500 0.2500 0.4088 (multiplicity 2)  4 Pd 2.92, 4 Cd 3.02, 1 Hf 3.15
Pd 0.2500 0.2500 0.7574 (multiplicity 2)  4 Hf 2.81, 4 Cd 2.92


No. 11
VASP calculation (PBE) on an optimized crystal structure of GaBi4Br4.

Calculated values
magnetic moment	0.0	μB/f.u.
VASP energy	-3.281	eV per atom
formation energy from raw total energies	-0.476	eV per atom

a = 20.7121 Å, b = 10.0840 Å, c = 14.5051 Å
α = 90.00°, β = 90.00°, γ = 90.00°
Closest atoms and distances in Å follow each position.
Space group Pna2_1 (No. 33)
One atom of each set of equivalent atoms:
Ga 0.0059 0.0142 0.0000 (multiplicity 4)  4 Br 2.36-2.39
Ga 0.1881 0.4870 0.3042 (multiplicity 4)  4 Br 2.36-2.39
Bi 0.0289 0.4055 0.6944 (multiplicity 4)  4 Bi 3.10-3.19
Bi 0.0461 0.6970 0.7763 (multiplicity 4)  4 Bi 3.08-3.19
Bi 0.0765 0.4403 0.8956 (multiplicity 4)  4 Bi 3.10-3.18
Bi 0.1124 0.6253 0.5927 (multiplicity 4)  4 Bi 3.08-3.19
Bi 0.1692 0.3377 0.6341 (multiplicity 4)  4 Bi 3.08-3.19
Bi 0.1781 0.6746 0.8752 (multiplicity 4)  4 Bi 3.09-3.21
Bi 0.2158 0.3715 0.8347 (multiplicity 4)  4 Bi 3.08-3.21
Bi 0.2449 0.6008 0.6914 (multiplicity 4)  4 Bi 3.09-3.19
Br 0.0139 0.0413 0.8388 (multiplicity 4)  1 Ga 2.36
Br 0.0576 0.1954 0.0758 (multiplicity 4)  1 Ga 2.39
Br 0.0598 0.8158 0.0431 (multiplicity 4)  1 Ga 2.37
Br 0.1028 0.9923 0.5489 (multiplicity 4)  1 Ga 2.36
Br 0.1158 0.6666 0.3246 (multiplicity 4)  1 Ga 2.37
Br 0.1426 0.2829 0.3516 (multiplicity 4)  1 Ga 2.37
Br 0.2199 0.4759 0.1482 (multiplicity 4)  1 Ga 2.36
Br 0.2206 0.0281 0.9003 (multiplicity 4)  1 Ga 2.39


No. 12
VASP calculation (PBE) on an optimized crystal structure of Zn2C3.

Calculated values
magnetic moment	0.0	μB/f.u.
VASP energy	-5.191	eV per atom
energy of formation	4.27	eV/f.u.

a = 6.4054 Å, b = 9.2379 Å, c = 13.2128 Å
α = 90.00°, β = 90.00°, γ = 90.00°
Closest atoms and distances in Å follow each position.
Space group Fddd (No. 70, origin choice 2)
One atom of each set of equivalent atoms:
Zn 0.1250 0.1250 0.3577 (multiplicity 16)  2 C 1.90
C 0.1250 0.1250 0.6250 (multiplicity 8)  2 C 1.31
C 0.1250 0.2671 0.6250 (multiplicity 16)  1 C 1.31


No. 13
VASP calculation (PBE) on an optimized crystal structure of CdTcOsRu2.

Calculated values
magnetic moment	0.0	μB/f.u.
VASP energy	-5.241	eV per atom
energy of formation	14.86	eV/f.u.

a = 4.6647 Å, b = 4.6647 Å, c = 4.7342 Å
α = 90.00°, β = 90.00°, γ = 90.00°
Closest atoms and distances in Å follow each position.
Space group P4/mmm (No. 123)
One atom of each set of equivalent atoms:
Cd 0.0000 0.0000 0.0000 (multiplicity 1)  4 Ru 2.33, 2 Os 2.37
Tc 0.5000 0.5000 0.5000 (multiplicity 1)  4 Os 3.30, 8 Ru 3.32
Os 0.0000 0.0000 0.5000 (multiplicity 1)  2 Cd 2.37
Ru 0.0000 0.5000 0.0000 (multiplicity 2)  2 Cd 2.33


No. 14
VASP calculation (PBE) on an optimized crystal structure of Ac2La7Nd2.

Calculated values
magnetic moment	0.0	μB/f.u.
VASP energy	-4.630	eV per atom
energy of formation	1.31	eV/f.u.

a = 11.8351 Å, b = 12.0186 Å, c = 6.3379 Å
α = 90.00°, β = 111.02°, γ = 90.00°
Closest atoms and distances in Å follow each position.
Space group C2/m (No. 12)
One atom of each set of equivalent atoms:
Ac 0.2250 0.0000 0.1032 (multiplicity 4)  7 La 3.61-3.85, 2 Nd 3.70
La 0.0000 0.0000 0.5000 (multiplicity 2)  4 La 3.39
La 0.0732 0.5000 0.3029 (multiplicity 4)  4 La 3.51-3.91, 2 Ac 3.66-3.85, 2 Nd 3.75
La 0.1829 0.2245 0.6726 (multiplicity 8)  2 La 3.19-3.39, 1 Nd 3.49
Nd 0.0000 0.2265 0.0000 (multiplicity 4)  6 La 3.49-3.75, 2 Ac 3.70


No. 15
VASP calculation (PBE) on an optimized crystal structure of Na2HgGe2.

Calculated values
magnetic moment	0.0	μB/f.u.
VASP energy	-2.455	eV per atom
energy of formation	-0.10	eV/f.u.

a = 8.6665 Å, b = 8.6665 Å, c = 3.2293 Å
α = 90.00°, β = 90.00°, γ = 90.00°
Closest atoms and distances in Å follow each position.
Space group P4/mbm (No. 127)
One atom of each set of equivalent atoms:
Na 0.1972 0.3028 0.0000 (multiplicity 4)  6 Ge 2.98-3.15, 2 Na 3.23
Hg 0.0000 0.0000 0.5000 (multiplicity 2)  2 Hg 3.23, 8 Na 3.52, 4 Ge 3.58
Ge 0.0983 0.5983 0.5000 (multiplicity 4)  1 Ge 2.41


No. 16
VASP calculation (PBE) on an optimized crystal structure of PrTlAg2.

Calculated values
magnetic moment	0.0	μB/f.u.
VASP energy	-3.332	eV per atom
energy of formation	-0.48	eV/f.u.

a = 4.7560 Å, b = 4.7560 Å, c = 4.4214 Å
α = 90.00°, β = 90.00°, γ = 90.00°
Closest atoms and distances in Å follow each position.
Space group P4/mmm (No. 123)
One atom of each set of equivalent atoms:
Pr 0.0000 0.0000 0.0000 (multiplicity 1)  8 Ag 3.25, 4 Tl 3.36
Tl 0.5000 0.5000 0.0000 (multiplicity 1)  8 Ag 3.25, 4 Pr 3.36
Ag 0.0000 0.5000 0.5000 (multiplicity 2)  4 Tl 3.25, 4 Pr 3.25, 4 Ag 3.36


No. 17
VASP calculation (PBE) on an optimized crystal structure of Rb2WC.

Calculated values
magnetic moment	2.2	μB/f.u.
VASP energy	-4.787	eV per atom
energy of formation	4.96	eV/f.u.

a = 12.9882 Å, b = 12.9882 Å, c = 4.0409 Å
α = 90.00°, β = 90.00°, γ = 90.00°
Closest atoms and distances in Å follow each position.
Space group I-42d (No. 122)
One atom of each set of equivalent atoms:
Rb 0.0232 0.2500 0.1250 (multiplicity 8)  2 C 3.30, 2 W 3.60
W 0.0000 0.0000 0.5000 (multiplicity 4)  2 C 2.02
C 0.0000 0.0000 0.0000 (multiplicity 4)  2 W 2.02


No. 18
VASP calculation (PBE) on an optimized crystal structure of Tb6Se2S3.

Calculated values
magnetic moment	0.8	μB/f.u.
VASP energy	-6.015	eV per atom
formation energy from raw total energies	-1.730	eV per atom

a = 3.9320 Å, b = 3.9320 Å, c = 58.9278 Å
α = 90.00°, β = 90.00°, γ = 120.00°
Closest atoms and distances in Å follow each position.
Space group R-3m (No. 166, hexagonal axes)
One atom of each set of equivalent atoms:
Tb 0.0000 0.0000 0.0811 (multiplicity 6)  3 S 2.76, 3 Se 2.89
Tb 0.0000 0.0000 0.1904 (multiplicity 6)  3 Se 2.93
Tb 0.0000 0.0000 0.3606 (multiplicity 6)  6 S 2.77-2.78
Se 0.0000 0.0000 0.4447 (multiplicity 6)  6 Tb 2.89-2.93
S 0.0000 0.0000 0.0000 (multiplicity 3)  6 Tb 2.78
S 0.0000 0.0000 0.2790 (multiplicity 6)  6 Tb 2.76-2.77


No. 19
VASP calculation (PBE) on an optimized crystal structure of HfZrIr2N.

Calculated values
magnetic moment	1.9	μB/f.u.
VASP energy	-6.465	eV per atom
formation energy from raw total energies	2.445	eV per atom

a = 4.7909 Å, b = 4.7909 Å, c = 5.3917 Å
α = 90.00°, β = 90.00°, γ = 90.00°
Closest atoms and distances in Å follow each position.
Space group P4/mmm (No. 123)
One atom of each set of equivalent atoms:
Hf 0.0000 0.0000 0.0000 (multiplicity 1)  2 Zr 2.70
Zr 0.0000 0.0000 0.5000 (multiplicity 1)  4 Ir 2.40
Ir 0.0000 0.5000 0.5000 (multiplicity 2)  2 Zr 2.40
N 0.5000 0.5000 0.0000 (multiplicity 1)  4 Hf 3.39, 8 Ir 3.61


No. 20
VASP calculation (PBE) on an optimized crystal structure of TaCo2P2.

Calculated values
magnetic moment	0.8	μB/f.u.
VASP energy	-7.749	eV per atom
energy of formation	-1.86	eV/f.u.

a = 6.6902 Å, b = 6.6902 Å, c = 2.7375 Å
α = 90.00°, β = 90.00°, γ = 90.00°
Closest atoms and distances in Å follow each position.
Space group P4/mbm (No. 127)
One atom of each set of equivalent atoms:
Ta 0.0000 0.0000 0.0000 (multiplicity 2)  4 P 2.55, 2 Ta 2.74
Co 0.1393 0.3607 0.5000 (multiplicity 4)  6 P 2.37-2.42, 1 Co 2.64
P 0.1500 0.6500 0.0000 (multiplicity 4)  6 Co 2.37-2.42, 2 Ta 2.55